1.
Material: KGaFeCl2
Method: DFT, PBE
State: optimized geometry

Values from the calculation:
Magnetization in μB/cell: 3.87
Mass density in g cm⁻³: 2.2
E in eV/atom: -3.036
DOS at the Fermi energy in states/eV per cell: 2.58

Cell: 5.2666 6.2827 5.2666 Å, 90.00 90.00 90.00°
Last column: nearest neighbours and their distance in Å.
Fractional coordinates of all 5 atoms:
Cl: 0.0000 0.0000 0.5000  2 Ga 2.63
Cl: 0.5000 0.0000 0.0000  2 Ga 2.63
Fe: 0.5000 0.5000 0.5000  4 K 3.72, 8 Cl 4.10
Ga: 0.0000 0.0000 0.0000  4 Cl 2.63
K: 0.0000 0.5000 0.0000  2 Ga 3.14

***

2.
Material: GaFePCl2
Method: DFT, PBE
State: optimized geometry

Values from the calculation:
Magnetization in μB/cell: 4.11
Mass density in g cm⁻³: 3.6
E in eV/atom: -3.638
DOS at the Fermi energy in states/eV per cell: 4.30
Relative energy among the computed polymorphs in meV/atom: 513

Cell: 4.6521 4.6521 4.9089 Å, 90.00 90.00 90.00°
Last column: nearest neighbours and their distance in Å.
Fractional coordinates of all 5 atoms:
Cl: 0.5000 0.0000 0.0000  2 Ga 2.33
Cl: 0.0000 0.5000 0.0000  2 Ga 2.33
Fe: 0.5000 0.5000 0.5000  4 P 3.29, 8 Cl 3.38
P: 0.0000 0.0000 0.5000  2 Ga 2.45
Ga: 0.0000 0.0000 0.0000  4 Cl 2.33, 2 P 2.45

***

3.
Material: GaFePCl2
Method: DFT, PBE
State: optimized geometry

Values from the calculation:
Magnetization in μB/cell: 2.10
Mass density in g cm⁻³: 3.4
E in eV/atom: -4.150
DOS at the Fermi energy in states/eV per cell: 3.71
Relative energy among the computed polymorphs in meV/atom: 0

Cell: 5.0287 5.0287 4.3369 Å, 90.00 90.00 90.00°
Last column: nearest neighbours and their distance in Å.
Fractional coordinates of all 5 atoms:
Ga: 0.5000 0.5000 0.5000  8 Cl 3.32, 4 P 3.56
P: 0.0000 0.0000 0.5000  2 Fe 2.17
Cl: 0.0000 0.5000 0.0000  2 Fe 2.51
Cl: 0.5000 0.0000 0.0000  2 Fe 2.51
Fe: 0.0000 0.0000 0.0000  2 P 2.17

***

4.
Material: GaFeP2Cl
Method: DFT, PBE
State: optimized geometry

Values from the calculation:
Magnetization in μB/cell: 0.00
Mass density in g cm⁻³: 4.1
E in eV/atom: -4.603
DOS at the Fermi energy in states/eV per cell: 3.86
Relative energy among the computed polymorphs in meV/atom: 0

Cell: 4.2214 4.2214 5.0659 Å, 90.00 90.00 90.00°
Last column: nearest neighbours and their distance in Å.
Fractional coordinates of all 5 atoms:
P: 0.5000 0.0000 0.0000  2 Fe 2.11
P: 0.0000 0.5000 0.0000  2 Fe 2.11
Fe: 0.0000 0.0000 0.0000  4 P 2.11
Cl: 0.0000 0.0000 0.5000  2 Fe 2.53
Ga: 0.5000 0.5000 0.5000  4 Cl 2.99, 8 P 3.30

***

5.
Material: GaFeSn2Cl
Method: DFT, PBE
State: optimized geometry

Values from the calculation:
Magnetization in μB/cell: 0.00
Mass density in g cm⁻³: 5.9
E in eV/atom: -4.579
DOS at the Fermi energy in states/eV per cell: 0.25

Cell: 4.8952 4.8952 4.6851 Å, 90.00 90.00 90.00°
Last column: nearest neighbours and their distance in Å.
Fractional coordinates of all 5 atoms:
Cl: 0.5000 0.5000 0.5000  8 Sn 3.39, 4 Ga 3.46
Fe: 0.0000 0.0000 0.0000  2 Ga 2.34, 4 Sn 2.45
Ga: 0.0000 0.0000 0.5000  2 Fe 2.34
Sn: 0.5000 0.0000 0.0000  2 Fe 2.45
Sn: 0.0000 0.5000 0.0000  2 Fe 2.45

***

6.
Material: TlGaFe2Cl6
Method: DFT, PBE
State: optimized geometry

Values from the calculation:
Magnetization in μB/cell: 16.00
Mass density in g cm⁻³: 3.3
E in eV/atom: -4.099
DOS at the Fermi energy in states/eV per cell: 20.01

Cell: 9.2810 9.2810 7.2234 Å, 100.40 100.40 84.59°
Last column: nearest neighbours and their distance in Å.
Fractional coordinates of all 20 atoms:
Cl: 0.8883 0.8207 0.4784  2 Fe 2.34
Cl: 0.7128 0.5257 0.6573  1 Fe 2.27
Cl: 0.3910 0.8940 0.6582  1 Fe 2.26
Cl: 0.6090 0.1060 0.3418  1 Fe 2.26
Cl: 0.4743 0.2872 0.8427  1 Fe 2.27
Cl: 0.1117 0.1793 0.5216  2 Fe 2.34
Cl: 0.1060 0.6090 0.8418  1 Fe 2.26
Cl: 0.1793 0.1117 0.0216  2 Fe 2.34
Cl: 0.8207 0.8883 0.9784  2 Fe 2.34
Cl: 0.2872 0.4743 0.3427  1 Fe 2.27
Cl: 0.5257 0.7128 0.1573  1 Fe 2.27
Cl: 0.8940 0.3910 0.1582  1 Fe 2.26
Tl: 0.1926 0.8074 0.2500  6 Cl 3.19-3.50
Tl: 0.8074 0.1926 0.7500  6 Cl 3.19-3.50
Fe: 0.2989 0.1221 0.7663  4 Cl 2.26-2.34
Fe: 0.1221 0.2989 0.2663  4 Cl 2.26-2.34
Fe: 0.8779 0.7011 0.7337  4 Cl 2.26-2.34
Fe: 0.7011 0.8779 0.2337  4 Cl 2.26-2.34
Ga: 0.4009 0.5991 0.7500  6 Cl 2.92-3.07
Ga: 0.5991 0.4009 0.2500  6 Cl 2.92-3.07